Entry a
! PBE La2MnFe, relaxed; values from VASP
! Fermi-level density of states ... 4.5 states/eV/cell
! Total magnetic moment ... 2.25 μB per formula unit
! Volume ... 98.9 Å³ per cell
&SYSTEM
  ibrav = 0, nat = 4, ntyp = 3
/
ATOMIC_SPECIES
Fe 55.84 Fe.upf
La 138.91 La.upf
Mn 54.94 Mn.upf
CELL_PARAMETERS angstrom
-6.842 3.819 4.408
-7.467 0.308 4.999
-5.122 2.102 7.084
ATOMIC_POSITIONS crystal
Fe 0.750 0.750 0.750
La 0.491 0.491 0.491
La 0.009 0.009 0.009
Mn 0.250 0.250 0.250

Entry b
! PBE La2MnFe, relaxed; values from VASP
! Fermi-level density of states ... 5.2 states/eV/cell
! Total magnetic moment ... 0.01 μB per formula unit
! Volume ... 92.9 Å³ per cell
&SYSTEM
  ibrav = 0, nat = 4, ntyp = 3
/
ATOMIC_SPECIES
Mn 54.94 Mn.upf
La 138.91 La.upf
Fe 55.84 Fe.upf
CELL_PARAMETERS angstrom
6.354 0.062 -0.139
5.259 3.568 -0.139
1.655 0.517 4.119
ATOMIC_POSITIONS crystal
Mn 0.578 0.578 0.422
La 0.984 0.984 0.016
Fe 0.171 0.171 0.328
La 0.766 0.766 0.734

Entry c
! PBE La2MnFe, relaxed; values from VASP
! Fermi-level density of states ... 12.5 states/eV/cell
! Total magnetic moment ... 4.94 μB per formula unit
! Volume ... 95.6 Å³ per cell
&SYSTEM
  ibrav = 0, nat = 4, ntyp = 3
/
ATOMIC_SPECIES
Mn 54.94 Mn.upf
La 138.91 La.upf
Fe 55.84 Fe.upf
CELL_PARAMETERS angstrom
0.095 -5.045 0.938
-4.237 -2.385 1.643
-2.492 -3.235 -3.108
ATOMIC_POSITIONS crystal
Mn 0.000 0.000 0.000
La 0.250 0.250 0.250
Fe 0.500 0.500 0.500
La 0.750 0.750 0.750

Entry d
! PBE La2MnFe, relaxed; values from VASP
! Fermi-level density of states ... 8.8 states/eV/cell
! Total magnetic moment ... 1.68 μB per formula unit
! Volume ... 87.9 Å³ per cell
&SYSTEM
  ibrav = 0, nat = 4, ntyp = 3
/
ATOMIC_SPECIES
La 138.91 La.upf
Fe 55.84 Fe.upf
Mn 54.94 Mn.upf
CELL_PARAMETERS angstrom
4.990 0.000 0.000
2.495 4.322 0.000
2.495 1.441 4.075
ATOMIC_POSITIONS crystal
La 0.000 0.000 0.000
La 0.250 0.250 0.250
Fe 0.500 0.500 0.500
Mn 0.750 0.750 0.750

It is entry a that is the least stable of them.

Entry a
! PBE La2MnFe, relaxed; values from VASP
! Fermi-level density of states ... 6.5 states/eV/cell
! Total magnetic moment ... 1.00 μB per formula unit
! Volume ... 100.5 Å³ per cell
&SYSTEM
  ibrav = 0, nat = 4, ntyp = 3
/
ATOMIC_SPECIES
La 138.91 La.upf
Mn 54.94 Mn.upf
Fe 55.84 Fe.upf
CELL_PARAMETERS angstrom
8.067 -0.027 -0.016
7.153 3.731 -0.016
7.153 1.741 3.301
ATOMIC_POSITIONS crystal
La 0.214 0.214 0.214
Mn 0.467 0.467 0.467
La 0.037 0.037 0.037
Fe 0.783 0.783 0.783

Entry b
! PBE La2MnFe, relaxed; values from VASP
! Fermi-level density of states ... 7.9 states/eV/cell
! Total magnetic moment ... 4.82 μB per formula unit
! Volume ... 95.4 Å³ per cell
&SYSTEM
  ibrav = 0, nat = 4, ntyp = 3
/
ATOMIC_SPECIES
La 138.91 La.upf
Fe 55.84 Fe.upf
Mn 54.94 Mn.upf
CELL_PARAMETERS angstrom
5.129 0.000 0.000
0.000 5.132 0.000
0.000 0.000 3.624
ATOMIC_POSITIONS crystal
La 0.000 0.000 0.000
Fe 0.000 0.500 0.500
La 0.500 0.500 0.000
Mn 0.500 0.000 0.500

It is entry b that is the least stable of them.

Entry a
! PBE LaMnFe, relaxed; values from VASP
! Fermi-level density of states ... 3.8 states/eV/cell
! Total magnetic moment ... 5.58 μB per formula unit
! Volume ... 59.5 Å³ per cell
&SYSTEM
  ibrav = 0, nat = 3, ntyp = 3
/
ATOMIC_SPECIES
La 138.91 La.upf
Mn 54.94 Mn.upf
Fe 55.84 Fe.upf
CELL_PARAMETERS angstrom
-1.923 3.658 3.841
-5.227 1.993 0.735
3.083 -4.658 -0.793
ATOMIC_POSITIONS crystal
La 0.664 0.664 0.000
Mn 0.372 0.372 0.000
Fe 0.964 0.964 0.000

Entry b
! PBE LaMnFe, relaxed; values from VASP
! Fermi-level density of states ... 4.2 states/eV/cell
! Total magnetic moment ... 5.10 μB per formula unit
! Volume ... 63.5 Å³ per cell
&SYSTEM
  ibrav = 0, nat = 3, ntyp = 3
/
ATOMIC_SPECIES
Fe 55.84 Fe.upf
La 138.91 La.upf
Mn 54.94 Mn.upf
CELL_PARAMETERS angstrom
-3.621 2.555 -0.642
-2.619 1.084 3.467
-0.068 4.210 1.524
ATOMIC_POSITIONS crystal
Fe 0.250 0.250 0.250
La 0.000 0.000 0.000
Mn 0.500 0.500 0.500

It is entry b that is the least stable of them.

Entry a
! PBE LaMn3Fe, relaxed; values from VASP
! Fermi-level density of states ... 15.7 states/eV/cell
! Total magnetic moment ... 6.70 μB per formula unit
! Volume ... 92.6 Å³ per cell
&SYSTEM
  ibrav = 0, nat = 5, ntyp = 3
/
ATOMIC_SPECIES
Mn 54.94 Mn.upf
Fe 55.84 Fe.upf
La 138.91 La.upf
CELL_PARAMETERS angstrom
-2.365 2.249 -3.133
0.907 -3.248 -3.016
-3.749 -2.205 1.247
ATOMIC_POSITIONS crystal
Mn 0.000 0.500 0.000
Mn 0.500 0.000 0.000
Fe 0.500 0.500 0.500
La 0.000 0.000 0.000
Mn 0.000 0.000 0.500

Entry b
! PBE LaMn3Fe, relaxed; values from VASP
! Fermi-level density of states ... 6.4 states/eV/cell
! Total magnetic moment ... 8.27 μB per formula unit
! Volume ... 92.4 Å³ per cell
&SYSTEM
  ibrav = 0, nat = 5, ntyp = 3
/
ATOMIC_SPECIES
Mn 54.94 Mn.upf
Fe 55.84 Fe.upf
La 138.91 La.upf
CELL_PARAMETERS angstrom
4.522 0.000 0.000
0.000 4.522 0.000
0.000 0.000 4.522
ATOMIC_POSITIONS crystal
Mn 0.000 0.000 0.500
Fe 0.000 0.000 0.000
La 0.500 0.500 0.500
Mn 0.000 0.500 0.000
Mn 0.500 0.000 0.000

It is entry a that is the least stable of them.